Record 1
Compound: Na2TlInPb
Source: Alexandria via LeMat-Bulk
Functional: PBE
Structure: relaxed

The structure in extended XYZ format:
```
5
Lattice="4.439 0.000 0.000 0.000 4.439 0.000 -2.219 -2.219 7.575" Properties=species:S:1:pos:R:3 pbc="T T T"
Tl 0.000 0.000 1.491
Na 0.000 2.219 3.837
Na 2.219 0.000 3.837
In 2.219 2.219 6.138
Pb 0.000 0.000 7.422
```

- Total energy: -2.264 eV per atom
- SG: I4mm, No. 107
- ΔE_f: 0.026 eV per atom
- DOS at the Fermi energy: 2.263 states/eV/cell


Record 2
Compound: Ac12Ni2Rh5
Source: Alexandria via LeMat-Bulk
Functional: PBE
Structure: relaxed

The structure in extended XYZ format:
```
19
Lattice="8.243 0.000 0.000 -4.121 7.522 -2.358 0.000 0.155 10.499" Properties=species:S:1:pos:R:3 pbc="T T T"
Ac 6.120 2.835 0.671
Ac -2.073 5.638 3.398
Ac 6.195 2.039 4.743
Ac -1.999 4.843 7.469
Ac 2.123 2.835 0.671
Ac 4.121 6.523 -0.193
Ac 0.000 6.995 -0.352
Ac 1.999 4.843 7.469
Ac 4.121 0.683 8.493
Ac 2.048 2.039 4.743
Ac 0.000 1.155 8.334
Ac 2.073 5.638 3.398
Ni 6.300 0.000 0.000
Ni 1.942 0.000 0.000
Rh 0.000 0.078 5.249
Rh 4.121 3.205 2.985
Rh 4.121 3.653 9.122
Rh 0.000 4.024 -0.981
Rh 0.000 4.472 5.156
```

- Total energy: -5.550 eV per atom
- SG: C2/m, No. 12
- ΔE_f: -0.412 eV per atom
- DOS at the Fermi energy: 14.873 states/eV/cell


Record 3
Compound: SrMoRh2
Source: Alexandria via LeMat-Bulk
Functional: PBE
Structure: relaxed

The structure in extended XYZ format:
```
8
Lattice="7.433 0.000 0.000 0.000 7.433 0.000 3.716 3.716 3.132" Properties=species:S:1:pos:R:3 pbc="T T T"
Rh 1.367 5.574 0.783
Rh 5.574 5.083 2.349
Rh 6.066 1.858 0.783
Rh 9.291 9.782 2.349
Sr 3.716 3.716 0.000
Sr 3.716 7.433 1.566
Mo 7.433 3.716 1.566
Mo 0.000 0.000 0.000
```

- Total energy: -6.416 eV per atom
- SG: I-42d, No. 122
- Excess energy over the best structure of this formula in the dataset: 368 meV/atom
- ΔE_f: 0.388 eV per atom
- DOS at the Fermi energy: 3.101 states/eV/cell


Record 4
Compound: InIN2F
Source: Alexandria via LeMat-Bulk
Functional: PBE
Structure: relaxed

The structure in extended XYZ format:
```
5
Lattice="-3.198 -3.615 -1.875 3.046 -0.540 -4.153 2.347 -3.184 2.135" Properties=species:S:1:pos:R:3 pbc="T T T"
F 0.000 0.000 0.000
I 1.173 -1.592 1.068
N 1.523 -0.270 -2.077
N -1.599 -1.808 -0.938
In 1.097 -3.670 -1.946
```

- Total energy: -2.896 eV per atom
- SG: P4/mmm, No. 123
- Excess energy over the best structure of this formula in the dataset: 849 meV/atom
- ΔE_f (raw): 1.666 eV per atom
- DOS at the Fermi energy: 1.154 states/eV/cell


Record 5
Compound: TcP2Os
Source: Alexandria via LeMat-Bulk
Functional: PBE
Structure: relaxed

The structure in extended XYZ format:
```
4
Lattice="-1.361 -1.700 2.252 2.809 -0.580 1.260 -0.475 4.564 3.158" Properties=species:S:1:pos:R:3 pbc="T T T"
Tc -0.203 1.951 1.350
P -0.468 4.494 3.109
P 0.598 0.067 2.591
Os 0.332 2.618 4.356
```

- Total energy: -8.230 eV per atom
- SG: P4mm, No. 99
- Excess energy over the best structure of this formula in the dataset: 179 meV/atom
- ΔE_f: -0.126 eV per atom
- DOS at the Fermi energy: 2.854 states/eV/cell


Record 6
Compound: CaYZr2
Source: Alexandria via LeMat-Bulk
Functional: PBE
Structure: relaxed

The structure in extended XYZ format:
```
4
Lattice="-2.718 -3.906 -3.281 3.214 -0.755 -4.745 1.480 -0.191 5.584" Properties=species:S:1:pos:R:3 pbc="T T T"
Ca 0.248 -2.331 -4.013
Zr 2.471 -1.638 -1.587
Zr 0.000 0.000 0.000
Y -0.495 -3.214 -0.855
```

- Total energy: -6.103 eV per atom
- SG: I-4m2, No. 119
- Excess energy over the best structure of this formula in the dataset: 123 meV/atom
- ΔE_f: 0.287 eV per atom
- DOS at the Fermi energy: 5.222 states/eV/cell


Record 7
Compound: Al2InSb
Source: Alexandria via LeMat-Bulk
Functional: PBE
Structure: relaxed

The structure in extended XYZ format:
```
4
Lattice="-2.389 9.167 4.231 -1.923 7.464 6.945 0.599 8.819 5.432" Properties=species:S:1:pos:R:3 pbc="T T T"
Al -3.694 25.316 16.520
Al -0.960 6.578 4.293
Sb -2.735 18.743 12.231
In -1.895 12.988 8.475
```

- Total energy: -3.428 eV per atom
- SG: R3m, No. 160
- Excess energy over the best structure of this formula in the dataset: 56 meV/atom
- ΔE_f (raw): 0.159 eV per atom
- DOS at the Fermi energy: 1.681 states/eV/cell


Record 8
Compound: BaNaBiO3
Source: Alexandria via LeMat-Bulk
Functional: PBE
Structure: relaxed

The structure in extended XYZ format:
```
12
Lattice="3.710 0.000 0.000 0.000 9.433 0.511 0.000 -1.882 6.607" Properties=species:S:1:pos:R:3 pbc="T T T"
O 0.927 6.914 3.377
O 2.782 0.636 3.740
O 2.782 4.258 2.155
O 2.782 7.185 0.740
O 0.927 0.366 6.378
O 0.927 3.293 4.962
Na 0.927 -0.755 4.445
Na 2.782 8.305 2.673
Bi 2.782 1.623 5.715
Bi 0.927 5.928 1.403
Ba 0.927 2.353 2.442
Ba 2.782 5.198 4.675
```

- Total energy: -5.367 eV per atom
- SG: P2_1/m, No. 11
- ΔE_f (raw): -1.701 eV per atom
- DOS at the Fermi energy: 0.000 states/eV/cell


Question: Among the records above, which one has the lowest total energy?
Answer: TcP2Os